Entry 1:
Below is Sc4TcAs after structural relaxation, with properties calculated at the PBE-GGA level.

Calculated values
Calculated formation energy   -0.603 eV/atom
DOS at the Fermi energy   0.84 states/eV/atom
Relative energy among the computed polymorphs   0.0000 eV/atom
Total DFT energy (no corrections)   -7.33 eV/atom

a b c (Å): 4.0289 7.2137 16.9525
angles (deg): 90.00 90.00 90.00
Last column: nearest neighbours and their distance in Å.
Atoms (fractional coordinates):
Sc1 0.7500 0.8970 0.6453  2 Tc 2.65, 2 As 2.80-2.85
Sc2 0.2500 0.1030 0.3547  2 Tc 2.65, 2 As 2.80-2.85
Sc3 0.2500 0.6030 0.1453  2 Tc 2.65, 2 As 2.80-2.85
Sc4 0.7500 0.3970 0.8547  2 Tc 2.65, 2 As 2.80-2.85
Sc5 0.7500 0.8425 0.4489  3 Tc 2.89-2.93, 5 Sc 3.18-3.21
Sc6 0.2500 0.1575 0.5511  3 Tc 2.89-2.93, 5 Sc 3.18-3.21
Sc7 0.2500 0.6575 0.9489  3 Tc 2.89-2.93, 5 Sc 3.18-3.21
Sc8 0.7500 0.3425 0.0511  3 Tc 2.89-2.93, 5 Sc 3.18-3.21
Sc9 0.7500 0.0016 0.9319  3 Tc 2.71-2.91, 1 As 2.75
Sc10 0.2500 0.9984 0.0681  3 Tc 2.71-2.91, 1 As 2.75
Sc11 0.2500 0.4984 0.4319  3 Tc 2.71-2.91, 1 As 2.75
Sc12 0.7500 0.5016 0.5681  3 Tc 2.71-2.91, 1 As 2.75
Sc13 0.7500 0.9360 0.2180  4 As 2.89-2.96, 1 Tc 2.93
Sc14 0.2500 0.0640 0.7820  4 As 2.89-2.96, 1 Tc 2.93
Sc15 0.2500 0.5640 0.7180  4 As 2.89-2.96, 1 Tc 2.93
Sc16 0.7500 0.4360 0.2820  4 As 2.89-2.96, 1 Tc 2.93
Tc1 0.7500 0.2475 0.4350  9 Sc 2.65-2.93
Tc2 0.2500 0.7525 0.5650  9 Sc 2.65-2.93
Tc3 0.2500 0.2525 0.9350  9 Sc 2.65-2.93
Tc4 0.7500 0.7475 0.0650  9 Sc 2.65-2.93
As1 0.7500 0.7671 0.8041  7 Sc 2.75-2.96
As2 0.2500 0.2329 0.1959  7 Sc 2.75-2.96
As3 0.2500 0.7329 0.3041  7 Sc 2.75-2.96
As4 0.7500 0.2671 0.6959  7 Sc 2.75-2.96


Entry 2:
Below is SiNi2Se after structural relaxation, with properties calculated at the PBE-GGA level.

Calculated values
DOS at the Fermi energy   0.50 states/eV/atom
Relative energy among the computed polymorphs   0.1420 eV/atom
Raw formation energy   -0.640 eV/f.u.
Total DFT energy (no corrections)   -5.28 eV/atom

a b c (Å): 6.1699 6.1699 6.1699
angles (deg): 146.88 153.88 42.66
Last column: nearest neighbours and their distance in Å.
Atoms (fractional coordinates):
Ni1 0.0720 0.0720 0.0000  2 Si 2.33, 4 Se 2.61
Ni2 0.7668 0.2668 0.5000  4 Si 2.35, 2 Se 2.58
Se1 0.4560 0.4560 0.0000  6 Ni 2.58-2.61, 2 Se 2.79
Si1 0.2052 0.7052 0.5000  6 Ni 2.33-2.35


Entry 3:
Below is Be2CdIr after structural relaxation, with properties calculated at the PBE-GGA level.

Calculated values
Calculated formation energy   0.303 eV/atom
DOS at the Fermi energy   0.70 states/eV/atom
Total DFT energy (no corrections)   -4.00 eV/atom

a b c (Å): 2.7610 2.7610 8.1496
angles (deg): 90.00 90.00 117.38
Last column: nearest neighbours and their distance in Å.
Atoms (fractional coordinates):
Be1 0.0000 0.0000 0.0040  2 Be 2.22, 2 Ir 2.22
Be2 0.5000 0.5000 0.2117  2 Be 2.22
Ir1 0.5000 0.5000 0.7961  2 Be 2.22
Cd1 0.0000 0.0000 0.4882  2 Be 2.67, 6 Cd 2.76-2.87, 2 Ir 2.89


Entry 4:
Below is NaLiInN2 after structural relaxation, with properties calculated at the PBE-GGA level.

Calculated values
DOS at the Fermi energy   0.13 states/eV/atom
Raw formation energy   6.024 eV/f.u.
Total DFT energy (no corrections)   -3.32 eV/atom

a b c (Å): 4.3170 5.0629 4.3170
angles (deg): 90.00 90.00 90.00
Last column: nearest neighbours and their distance in Å.
Atoms (fractional coordinates):
Na1 0.0000 0.5000 0.0000  2 In 2.53
N1 0.0000 0.0000 0.5000  2 In 2.16
N2 0.5000 0.0000 0.0000  2 In 2.16
Li1 0.5000 0.5000 0.5000  4 Na 3.05, 8 N 3.33
In1 0.0000 0.0000 0.0000  4 N 2.16